# 1
Below is Tl2Pb3Au2 after structural relaxation, with properties calculated at the PBE-GGA level.

Computed properties:
For the density of states at the Fermi level, the calculation gives 0.408 states/eV/atom. The calculation puts the formation energy at -39 meV per atom. Its raw total energy is -22.7 eV per cell. As for the crystal system: monoclinic. As for the space-group type: C2/m (12).

Unit cell a=6.3265 b=6.3265 c=8.5343 alpha=111.46 beta=111.46 gamma=38.99
Positions (direct):
Tl 0.1555 0.1555 0.3213
Tl 0.8445 0.8445 0.6787
Pb 0.3835 0.3835 0.0614
Pb 0.5000 0.5000 0.5000
Pb 0.6165 0.6165 0.9386
Au 0.1704 0.1704 0.7271
Au 0.8296 0.8296 0.2729

# 2
Below is Tl12Pb3Au after structural relaxation, with properties calculated at the PBE-GGA level.

Computed properties:
For the density of states at the Fermi level, the calculation gives 0.497 states/eV/atom. The calculation puts the formation energy at 32 meV per atom. Its raw total energy is -42.3 eV per cell. As for the crystal system: tetragonal. As for the space-group type: P4/mmm (123).

Unit cell a=4.9798 b=4.9798 c=19.3003 alpha=90.00 beta=90.00 gamma=90.00
Positions (direct):
Tl 0.0000 0.0000 0.0000
Tl 0.0000 0.0000 0.2439
Tl 0.0000 0.0000 0.5000
Tl 0.0000 0.0000 0.7561
Tl 0.0000 0.5000 0.1153
Tl 0.0000 0.5000 0.3736
Tl 0.0000 0.5000 0.6264
Tl 0.0000 0.5000 0.8847
Tl 0.5000 0.0000 0.1153
Tl 0.5000 0.0000 0.3736
Tl 0.5000 0.0000 0.6264
Tl 0.5000 0.0000 0.8847
Pb 0.5000 0.5000 0.2466
Pb 0.5000 0.5000 0.5000
Pb 0.5000 0.5000 0.7534
Au 0.5000 0.5000 0.0000

# 3
Below is TlPb2Au4 after structural relaxation, with properties calculated at the PBE-GGA level.

Computed properties:
For the density of states at the Fermi level, the calculation gives 0.354 states/eV/atom. The calculation puts the formation energy at -33 meV per atom. Its raw total energy is -46.2 eV per cell. As for the crystal system: monoclinic. As for the space-group type: P2_1/m (11).

Unit cell a=4.6301 b=5.6790 c=12.9724 alpha=90.00 beta=90.86 gamma=90.00
Positions (direct):
Tl 0.2383 0.2500 0.0461
Tl 0.7617 0.7500 0.9539
Pb 0.2424 0.2500 0.3160
Pb 0.2558 0.2500 0.6135
Pb 0.7442 0.7500 0.3865
Pb 0.7576 0.7500 0.6840
Au 0.2415 0.7500 0.2307
Au 0.2510 0.7500 0.5308
Au 0.2609 0.5052 0.8419
Au 0.2609 0.9948 0.8419
Au 0.7391 0.0052 0.1581
Au 0.7391 0.4948 0.1581
Au 0.7490 0.2500 0.4692
Au 0.7585 0.2500 0.7693

- Number 3 is which compound?
  TlPb2Au4